VASP calculation (PBE) on a geometry-optimized Cs2ErAg2Br6 structure.

Values from the calculation:
Raw formation energy ... -1265 meV/atom
Theoretical density ... 4.2 g/cm³

CIF file:
```
data_Cs2ErAg2Br6
_cell_length_a 14.057
_cell_length_b 8.120
_cell_length_c 9.150
_cell_angle_alpha 90.00
_cell_angle_beta 122.41
_cell_angle_gamma 90.00
_symmetry_space_group_name_H-M 'C 1 2/m 1'
_symmetry_Int_Tables_number 12
loop_
_symmetry_equiv_pos_as_xyz
'x,y,z'
'-x,-y,-z'
'-x,y,-z'
'x,-y,z'
'x+1/2,y+1/2,z'
'-x+1/2,-y+1/2,-z'
'-x+1/2,y+1/2,-z'
'x+1/2,-y+1/2,z'
loop_
_atom_site_label
_atom_site_type_symbol
_atom_site_fract_x
_atom_site_fract_y
_atom_site_fract_z
Cs1 Cs 0.212 0.000 0.185
Er1 Er 0.000 0.000 0.500
Ag1 Ag 0.047 0.500 0.175
Br1 Br 0.055 0.235 0.757
Br2 Br 0.223 0.000 0.589
```


VASP calculation (PBE) on a geometry-optimized Cs3Ag2Br4F2 structure.

Values from the calculation:
Raw formation energy ... -1405 meV/atom
Theoretical density ... 4.2 g/cm³

CIF file:
```
data_Cs3Ag2Br4F2
_cell_length_a 5.305
_cell_length_b 5.305
_cell_length_c 27.076
_cell_angle_alpha 90.00
_cell_angle_beta 90.00
_cell_angle_gamma 90.00
_symmetry_space_group_name_H-M 'I 4/m m m'
_symmetry_Int_Tables_number 139
_symmetry_space_group_name_Hall '-I 4 2'
loop_
_atom_site_label
_atom_site_type_symbol
_atom_site_fract_x
_atom_site_fract_y
_atom_site_fract_z
Cs1 Cs 0.000 0.000 0.000
Cs2 Cs 0.000 0.000 0.196
Ag1 Ag 0.000 0.000 0.384
Br1 Br 0.000 0.500 0.095
F1 F 0.000 0.000 0.298
```


VASP calculation (PBE) on a geometry-optimized CsAg2BrF2 structure.

Values from the calculation:
Raw formation energy ... -1304 meV/atom
Theoretical density ... 4.9 g/cm³

CIF file:
```
data_CsAg2BrF2
_cell_length_a 6.140
_cell_length_b 5.799
_cell_length_c 9.283
_cell_angle_alpha 90.00
_cell_angle_beta 105.34
_cell_angle_gamma 90.00
_symmetry_space_group_name_H-M 'P 1 21/m 1'
_symmetry_Int_Tables_number 11
loop_
_symmetry_equiv_pos_as_xyz
'x,y,z'
'-x,-y,-z'
'-x,y+1/2,-z'
'x,-y+1/2,z'
loop_
_atom_site_label
_atom_site_type_symbol
_atom_site_fract_x
_atom_site_fract_y
_atom_site_fract_z
Cs1 Cs 0.178 0.250 0.404
Ag1 Ag 0.373 0.000 0.848
Br1 Br 0.228 0.750 0.061
F1 F 0.106 0.250 0.697
F2 F 0.358 0.750 0.643
```


VASP calculation (PBE) on a geometry-optimized CsAgBr2F8 structure.

Values from the calculation:
Raw formation energy ... -1170 meV/atom
Theoretical density ... 3.6 g/cm³

CIF file:
```
data_CsAgBr2F8
_cell_length_a 11.487
_cell_length_b 6.250
_cell_length_c 7.546
_cell_angle_alpha 90.00
_cell_angle_beta 111.14
_cell_angle_gamma 90.00
_symmetry_space_group_name_H-M 'C 1 2/m 1'
_symmetry_Int_Tables_number 12
loop_
_symmetry_equiv_pos_as_xyz
'x,y,z'
'-x,-y,-z'
'-x,y,-z'
'x,-y,z'
'x+1/2,y+1/2,z'
'-x+1/2,-y+1/2,-z'
'-x+1/2,y+1/2,-z'
'x+1/2,-y+1/2,z'
loop_
_atom_site_label
_atom_site_type_symbol
_atom_site_fract_x
_atom_site_fract_y
_atom_site_fract_z
Cs1 Cs 0.000 0.000 0.000
Ag1 Ag 0.000 0.500 0.500
Br1 Br 0.238 0.000 0.669
F1 F 0.005 0.280 0.319
F2 F 0.240 0.000 0.417
F3 F 0.250 0.000 0.924
```


VASP calculation (PBE) on a geometry-optimized Cs3Ag2Br2F3 structure.

Values from the calculation:
Raw formation energy ... -1637 meV/atom
Theoretical density ... 4.2 g/cm³

CIF file:
```
data_Cs3Ag2Br2F3
_cell_length_a 5.175
_cell_length_b 5.175
_cell_length_c 24.309
_cell_angle_alpha 90.00
_cell_angle_beta 90.00
_cell_angle_gamma 90.00
_symmetry_space_group_name_H-M 'I 4/m m m'
_symmetry_Int_Tables_number 139
_symmetry_space_group_name_Hall '-I 4 2'
loop_
_atom_site_label
_atom_site_type_symbol
_atom_site_fract_x
_atom_site_fract_y
_atom_site_fract_z
Cs1 Cs 0.000 0.000 0.000
Cs2 Cs 0.000 0.000 0.380
Ag1 Ag 0.000 0.000 0.206
Br1 Br 0.000 0.500 0.250
F1 F 0.000 0.000 0.113
F2 F 0.000 0.000 0.500
```


VASP calculation (PBE) on a geometry-optimized Cs2AgBrF3 structure.

Values from the calculation:
Raw formation energy ... -1768 meV/atom
Theoretical density ... 4.6 g/cm³

CIF file:
```
data_Cs2AgBrF3
_cell_length_a 4.541
_cell_length_b 5.093
_cell_length_c 15.856
_cell_angle_alpha 90.00
_cell_angle_beta 90.00
_cell_angle_gamma 90.00
_symmetry_space_group_name_H-M 'I m m m'
_symmetry_Int_Tables_number 71
_symmetry_space_group_name_Hall '-I 2 2'
loop_
_atom_site_label
_atom_site_type_symbol
_atom_site_fract_x
_atom_site_fract_y
_atom_site_fract_z
Cs1 Cs 0.000 0.000 0.164
Ag1 Ag 0.000 0.000 0.500
Br1 Br 0.000 0.500 0.500
F1 F 0.000 0.000 0.347
F2 F 0.000 0.500 0.000
```


VASP calculation (PBE) on a geometry-optimized CsAg2Br2F structure.

Values from the calculation:
Raw formation energy ... -1068 meV/atom
Theoretical density ... 4.7 g/cm³

CIF file:
```
data_CsAg2Br2F
_cell_length_a 7.272
_cell_length_b 6.308
_cell_length_c 8.101
_cell_angle_alpha 90.00
_cell_angle_beta 94.02
_cell_angle_gamma 90.00
_symmetry_space_group_name_H-M 'P 1 21/m 1'
_symmetry_Int_Tables_number 11
loop_
_symmetry_equiv_pos_as_xyz
'x,y,z'
'-x,-y,-z'
'-x,y+1/2,-z'
'x,-y+1/2,z'
loop_
_atom_site_label
_atom_site_type_symbol
_atom_site_fract_x
_atom_site_fract_y
_atom_site_fract_z
Cs1 Cs 0.219 0.250 0.142
Ag1 Ag 0.268 0.522 0.600
Br1 Br 0.045 0.750 0.345
Br2 Br 0.290 0.750 0.883
F1 F 0.416 0.250 0.467
```


VASP calculation (PBE) on a geometry-optimized Cs2AgBr2F2 structure.

Values from the calculation:
Raw formation energy ... -1593 meV/atom
Theoretical density ... 4.5 g/cm³

CIF file:
```
data_Cs2AgBr2F2
_cell_length_a 4.994
_cell_length_b 4.994
_cell_length_c 16.824
_cell_angle_alpha 90.00
_cell_angle_beta 90.00
_cell_angle_gamma 90.00
_symmetry_space_group_name_H-M 'I 4/m m m'
_symmetry_Int_Tables_number 139
_symmetry_space_group_name_Hall '-I 4 2'
loop_
_atom_site_label
_atom_site_type_symbol
_atom_site_fract_x
_atom_site_fract_y
_atom_site_fract_z
Cs1 Cs 0.000 0.000 0.115
Ag1 Ag 0.000 0.000 0.500
Br1 Br 0.000 0.000 0.346
F1 F 0.000 0.500 0.000
```